# 1
Density functional theory data (PBE) for an optimized crystal structure of K22RbHg6.

abc: 13.227 13.227 13.227
angles: 60.00 60.00 60.00
Positions (direct):
K (0.839, 0.387, 0.387)
K (0.613, 0.613, 0.613)
K (0.387, 0.387, 0.387)
Hg (0.264, 0.264, 0.736)
K (0.000, 0.000, 0.657)
Hg (0.264, 0.736, 0.736)
K (0.000, 0.657, 0.343)
K (0.750, 0.750, 0.750)
K (0.343, 0.657, 0.000)
Hg (0.264, 0.736, 0.264)
K (0.657, 0.343, 0.000)
K (0.000, 0.343, 0.000)
K (0.000, 0.000, 0.343)
K (0.657, 0.000, 0.343)
K (0.000, 0.343, 0.657)
K (0.387, 0.839, 0.387)
K (0.000, 0.657, 0.000)
Hg (0.736, 0.264, 0.736)
K (0.343, 0.000, 0.000)
Rb (0.000, 0.000, 0.000)
K (0.613, 0.161, 0.613)
K (0.161, 0.613, 0.613)
K (0.387, 0.387, 0.839)
K (0.250, 0.250, 0.250)
Hg (0.736, 0.264, 0.264)
K (0.613, 0.613, 0.161)
K (0.657, 0.000, 0.000)
K (0.343, 0.000, 0.657)
Hg (0.736, 0.736, 0.264)

The volume comes out at 1636 Å³ per cell. The calculation puts the formation energy at -0.109 eV/atom. As for the space group: No. 225.

# 2
Density functional theory data (PBE) for an optimized crystal structure of KRb8Hg3.

abc: 12.363 12.363 9.159
angles: 47.55 47.55 60.00
Positions (direct):
Rb (0.210, 0.760, 0.270)
Rb (0.240, 0.240, 0.730)
Hg (0.500, 0.000, 0.000)
Rb (0.262, 0.262, 0.215)
Rb (0.760, 0.210, 0.270)
Rb (0.760, 0.760, 0.270)
Rb (0.240, 0.790, 0.730)
Rb (0.738, 0.738, 0.785)
K (0.500, 0.500, 0.500)
Hg (0.500, 0.500, 0.000)
Hg (0.000, 0.500, 0.000)
Rb (0.790, 0.240, 0.730)

The volume comes out at 760 Å³ per cell. The calculation puts the formation energy at -0.078 eV/atom. As for the space group: No. 166.

# 3
Density functional theory data (PBE) for an optimized crystal structure of K2RbHg.

abc: 4.915 4.915 12.181
angles: 78.36 78.36 60.00
Positions (direct):
Rb (0.500, 0.500, 0.499)
Hg (0.667, 0.667, 0.000)
K (0.275, 0.275, 0.176)
K (0.059, 0.059, 0.824)

The volume comes out at 248 Å³ per cell. The calculation puts the formation energy at -0.077 eV/atom. As for the space group: No. 160.

# 4
Density functional theory data (PBE) for an optimized crystal structure of K6Rb3Hg.

abc: 4.728 16.083 20.296
angles: 113.82 90.00 90.00
Positions (direct):
Rb (0.250, 0.860, 0.925)
K (0.250, 0.608, 0.951)
Hg (0.250, 0.911, 0.300)
K (0.250, 0.215, 0.633)
Rb (0.250, 0.369, 0.496)
K (0.750, 0.864, 0.726)
Rb (0.750, 0.350, 0.825)
Rb (0.250, 0.650, 0.175)
K (0.250, 0.118, 0.848)
Rb (0.750, 0.140, 0.075)
K (0.750, 0.785, 0.367)
K (0.250, 0.431, 0.274)
K (0.250, 0.934, 0.571)
K (0.750, 0.066, 0.429)
Rb (0.750, 0.631, 0.504)
K (0.750, 0.882, 0.152)
K (0.750, 0.392, 0.049)
K (0.250, 0.136, 0.274)
Hg (0.750, 0.089, 0.700)
K (0.750, 0.569, 0.726)

The volume comes out at 1412 Å³ per cell. The calculation puts the formation energy at -0.025 eV/atom. As for the space group: No. 11.

# 5
Density functional theory data (PBE) for an optimized crystal structure of KRb7Hg2.

abc: 4.858 12.408 12.408
angles: 102.48 90.00 90.00
Positions (direct):
K (0.000, 0.000, 0.000)
Hg (0.500, 0.137, 0.863)
Rb (0.500, 0.361, 0.108)
Rb (0.500, 0.639, 0.892)
Rb (0.000, 0.722, 0.278)
Rb (0.500, 0.500, 0.500)
Hg (0.500, 0.863, 0.137)
Rb (0.500, 0.892, 0.639)
Rb (0.000, 0.278, 0.722)
Rb (0.500, 0.108, 0.361)

The volume comes out at 730 Å³ per cell. The calculation puts the formation energy at -0.058 eV/atom. As for the space group: No. 65.

# 6
Density functional theory data (PBE) for an optimized crystal structure of K6RbHg2.

abc: 10.980 10.980 10.980
angles: 104.44 111.81 112.28
Positions (direct):
K (0.105, 0.812, 0.293)
K (0.692, 0.680, 0.373)
K (0.228, 0.987, 0.759)
K (0.520, 0.812, 0.707)
Hg (0.369, 0.369, 0.000)
Rb (0.000, 0.000, 0.000)
K (0.480, 0.188, 0.293)
Hg (0.500, 0.113, 0.613)
K (0.308, 0.680, 0.988)
K (0.895, 0.188, 0.707)
Rb (0.000, 0.500, 0.500)
K (0.228, 0.469, 0.241)
K (0.772, 0.013, 0.241)
K (0.692, 0.320, 0.012)
K (0.308, 0.320, 0.627)
Hg (0.500, 0.887, 0.387)
K (0.772, 0.531, 0.759)
Hg (0.631, 0.631, 0.000)

The volume comes out at 1013 Å³ per cell. The calculation puts the formation energy at -0.105 eV/atom. As for the space group: No. 71.

Repeat the second record exactly.
Density functional theory data (PBE) for an optimized crystal structure of KRb8Hg3.

abc: 12.363 12.363 9.159
angles: 47.55 47.55 60.00
Positions (direct):
Rb (0.210, 0.760, 0.270)
Rb (0.240, 0.240, 0.730)
Hg (0.500, 0.000, 0.000)
Rb (0.262, 0.262, 0.215)
Rb (0.760, 0.210, 0.270)
Rb (0.760, 0.760, 0.270)
Rb (0.240, 0.790, 0.730)
Rb (0.738, 0.738, 0.785)
K (0.500, 0.500, 0.500)
Hg (0.500, 0.500, 0.000)
Hg (0.000, 0.500, 0.000)
Rb (0.790, 0.240, 0.730)

The volume comes out at 760 Å³ per cell. The calculation puts the formation energy at -0.078 eV/atom. As for the space group: No. 166.

Question: Among the records above, which one has the highest volume?
Answer: K22RbHg6

Copy entry 2 word for word.
Density functional theory data (PBE) for an optimized crystal structure of KRb8Hg3.

abc: 12.363 12.363 9.159
angles: 47.55 47.55 60.00
Positions (direct):
Rb (0.210, 0.760, 0.270)
Rb (0.240, 0.240, 0.730)
Hg (0.500, 0.000, 0.000)
Rb (0.262, 0.262, 0.215)
Rb (0.760, 0.210, 0.270)
Rb (0.760, 0.760, 0.270)
Rb (0.240, 0.790, 0.730)
Rb (0.738, 0.738, 0.785)
K (0.500, 0.500, 0.500)
Hg (0.500, 0.500, 0.000)
Hg (0.000, 0.500, 0.000)
Rb (0.790, 0.240, 0.730)

The volume comes out at 760 Å³ per cell. The calculation puts the formation energy at -0.078 eV/atom. As for the space group: No. 166.